A relaxed structure of Cu2SbMoN. Source: Alexandria, functional GGA-PBE.

a = 4.814 Å, b = 4.814 Å, c = 4.146 Å
α = 90.00°, β = 90.00°, γ = 90.00°
Sites, in units of the cell vectors:
Cu: 0.000 0.500 0.000
Cu: 0.500 0.000 0.000
Sb: 0.000 0.000 0.000
Mo: 0.500 0.500 0.500
N: 0.000 0.000 0.500

Properties
DOS(E_F): 2.68 states/eV per cell
spin magnetization: 3.50 μB per cell
E_form (uncorrected): 1.6660 eV per atom
E_tot: -4.63 eV/atom
SG: P4/mmm